VASP calculation (PBE with a Hubbard U) on a relaxed structure of K2NdMoO6.

Unit cell a=6.087 b=6.087 c=6.087 alpha=60.00 beta=60.00 gamma=60.00
Element x y z (fractional)
K 0.250 0.250 0.250
K 0.750 0.750 0.750
Nd 0.000 0.000 0.000
Mo 0.500 0.500 0.500
O 0.274 0.274 0.726
O 0.274 0.726 0.274
O 0.274 0.726 0.726
O 0.726 0.274 0.274
O 0.726 0.274 0.726
O 0.726 0.726 0.274

=====

VASP calculation (PBE with a Hubbard U) on a relaxed structure of KNdMoO4.

Unit cell a=6.932 b=6.932 c=6.932 alpha=122.40 beta=115.43 gamma=91.99
Element x y z (fractional)
K 0.383 0.133 0.250
K 0.617 0.867 0.750
Nd 0.000 0.500 0.500
Nd 0.500 0.500 0.000
Mo 0.000 0.000 0.500
Mo 0.000 0.500 0.000
O 0.176 0.744 0.432
O 0.188 0.256 0.932
O 0.213 0.245 0.531
O 0.213 0.682 0.969
O 0.787 0.318 0.031
O 0.787 0.755 0.469
O 0.812 0.744 0.068
O 0.824 0.256 0.568

=====

VASP calculation (PBE with a Hubbard U) on a relaxed structure of K4NdMo3O12.

Unit cell a=7.176 b=7.176 c=7.176 alpha=109.47 beta=109.47 gamma=109.47
Element x y z (fractional)
K 0.000 0.000 0.500
K 0.000 0.500 0.000
K 0.500 0.000 0.000
K 0.500 0.500 0.500
Nd 0.000 0.000 0.000
Mo 0.000 0.500 0.500
Mo 0.500 0.000 0.500
Mo 0.500 0.500 0.000
O 0.000 0.275 0.275
O 0.000 0.725 0.725
O 0.250 0.500 0.750
O 0.250 0.750 0.500
O 0.275 0.000 0.275
O 0.275 0.275 0.000
O 0.500 0.250 0.750
O 0.500 0.750 0.250
O 0.725 0.000 0.725
O 0.725 0.725 0.000
O 0.750 0.250 0.500
O 0.750 0.500 0.250

=====

VASP calculation (PBE with a Hubbard U) on a relaxed structure of KNdMo2O8.

Unit cell a=7.554 b=7.554 c=8.168 alpha=117.72 beta=117.72 gamma=86.61
Element x y z (fractional)
K 0.069 0.931 0.750
K 0.931 0.069 0.250
Nd 0.477 0.523 0.750
Nd 0.523 0.477 0.250
Mo 0.044 0.553 0.237
Mo 0.447 0.956 0.263
Mo 0.553 0.044 0.737
Mo 0.956 0.447 0.763
O 0.116 0.819 0.406
O 0.141 0.524 0.714
O 0.165 0.456 0.034
O 0.181 0.884 0.094
O 0.269 0.462 0.379
O 0.456 0.165 0.534
O 0.462 0.269 0.879
O 0.476 0.859 0.786
O 0.524 0.141 0.214
O 0.538 0.731 0.121
O 0.544 0.835 0.466
O 0.731 0.538 0.621
O 0.819 0.116 0.906
O 0.835 0.544 0.966
O 0.859 0.476 0.286
O 0.884 0.181 0.594

=====

VASP calculation (PBE with a Hubbard U) on a relaxed structure of K4Nd3MoO8.

Unit cell a=7.501 b=7.501 c=7.501 alpha=56.66 beta=56.66 gamma=56.66
Element x y z (fractional)
K 0.000 0.000 0.000
K 0.000 0.500 0.500
K 0.500 0.000 0.500
K 0.500 0.500 0.000
Nd 0.000 0.000 0.500
Nd 0.000 0.500 0.000
Nd 0.500 0.000 0.000
Mo 0.500 0.500 0.500
O 0.231 0.231 0.231
O 0.245 0.722 0.722
O 0.278 0.278 0.755
O 0.278 0.755 0.278
O 0.722 0.245 0.722
O 0.722 0.722 0.245
O 0.755 0.278 0.278
O 0.769 0.769 0.769

=====

VASP calculation (PBE with a Hubbard U) on a relaxed structure of KNdMoO5.

Unit cell a=6.529 b=6.529 c=8.375 alpha=104.30 beta=104.30 gamma=105.21
Element x y z (fractional)
K 0.180 0.820 0.750
K 0.820 0.180 0.250
Nd 0.500 0.500 0.000
Nd 0.500 0.500 0.500
Mo 0.179 0.821 0.250
Mo 0.821 0.179 0.750
O 0.100 0.252 0.899
O 0.189 0.628 0.371
O 0.252 0.100 0.399
O 0.372 0.811 0.129
O 0.423 0.577 0.750
O 0.577 0.423 0.250
O 0.628 0.189 0.871
O 0.748 0.900 0.601
O 0.811 0.372 0.629
O 0.900 0.748 0.101

=====

Total energy readings, ordered: -63.9 -96.8 -127.7 -170.9 -102.7 -111.2 eV per cell